[1]
Material: Ti4TlTe8
Method: DFT, PBE
State: relaxed

Properties
Fermi-level density of states = 5.63 states/eV/f.u.
magnetic moment = 0.000 μB/f.u.
space group = No. 166
DFT total energy = -5.210 eV per atom
energy relative to the elements, uncorrected = -0.665 eV per atom
volume = 434.3 Å³ per cell

Cell: 9.746 9.746 9.746 Å, 45.83 45.83 45.83°
Sites, in units of the cell vectors:
Ti1 0.000 0.000 0.000
Ti2 0.000 0.500 0.500
Ti3 0.500 0.000 0.500
Ti4 0.500 0.500 0.000
Tl1 0.500 0.500 0.500
Te1 0.232 0.232 0.734
Te2 0.232 0.734 0.232
Te3 0.266 0.768 0.768
Te4 0.267 0.267 0.267
Te5 0.733 0.733 0.733
Te6 0.734 0.232 0.232
Te7 0.768 0.266 0.768
Te8 0.768 0.768 0.266

[2]
Material: NaNi2AsN
Method: DFT, PBE
State: relaxed

Properties
Fermi-level density of states = 3.12 states/eV/f.u.
magnetic moment = 0.000 μB/f.u.
space group = No. 123
DFT total energy = -4.874 eV per atom
energy relative to the elements, uncorrected = 0.297 eV per atom
volume = 67.3 Å³ per cell

Cell: 3.832 3.832 4.583 Å, 90.00 90.00 90.00°
Sites, in units of the cell vectors:
Na1 0.000 0.000 0.000
Ni1 0.000 0.500 0.500
Ni2 0.500 0.000 0.500
As1 0.500 0.500 0.000
N1 0.500 0.500 0.500

[3]
Material: ZrIn2Os
Method: DFT, PBE
State: relaxed

Properties
Fermi-level density of states = 1.29 states/eV/f.u.
magnetic moment = 0.000 μB/f.u.
space group = No. 119
DFT total energy = -6.275 eV per atom
ΔH_f (0 K) = 0.04 eV/atom
volume = 155.3 Å³ per cell

Cell: 4.404 4.404 8.009 Å, 90.00 90.00 90.00°
Sites, in units of the cell vectors:
Zr1 0.000 0.000 0.000
Zr2 0.500 0.500 0.500
In1 0.000 0.000 0.500
In2 0.000 0.500 0.750
In3 0.500 0.000 0.250
In4 0.500 0.500 0.000
Os1 0.000 0.500 0.250
Os2 0.500 0.000 0.750

[4]
Material: TlNiSe2
Method: DFT, PBE
State: relaxed

Properties
Fermi-level density of states = 7.34 states/eV/f.u.
magnetic moment = 1.679 μB/f.u.
space group = No. 225
DFT total energy = -3.328 eV per atom
energy relative to the elements, uncorrected = 0.451 eV per atom
volume = 334.8 Å³ per cell

Cell: 6.944 6.944 6.944 Å, 90.00 90.00 90.00°
Sites, in units of the cell vectors:
Tl1 0.000 0.000 0.000
Tl2 0.000 0.500 0.500
Tl3 0.500 0.000 0.500
Tl4 0.500 0.500 0.000
Ni1 0.000 0.000 0.500
Ni2 0.000 0.500 0.000
Ni3 0.500 0.000 0.000
Ni4 0.500 0.500 0.500
Se1 0.250 0.250 0.250
Se2 0.250 0.250 0.750
Se3 0.250 0.750 0.250
Se4 0.250 0.750 0.750
Se5 0.750 0.250 0.250
Se6 0.750 0.250 0.750
Se7 0.750 0.750 0.250
Se8 0.750 0.750 0.750

[5]
Material: Li2CrBr
Method: DFT, PBE
State: relaxed

Properties
Fermi-level density of states = 0.39 states/eV/f.u.
magnetic moment = 5.003 μB/f.u.
space group = No. 123
DFT total energy = -3.801 eV per atom
ΔE to the lowest computed polymorph = 0.450 eV per formula unit
energy relative to the elements, uncorrected = -0.020 eV per atom
volume = 78.8 Å³ per cell

Cell: 4.672 4.672 3.609 Å, 90.00 90.00 90.00°
Sites, in units of the cell vectors:
Li1 0.000 0.500 0.000
Li2 0.500 0.000 0.000
Cr1 0.000 0.000 0.500
Br1 0.500 0.500 0.500

[6]
Material: CuPS2
Method: DFT, PBE
State: relaxed

Properties
Fermi-level density of states = 1.43 states/eV/f.u.
magnetic moment = 0.000 μB/f.u.
space group = No. 1
DFT total energy = -4.496 eV per atom
energy relative to the elements, uncorrected = -0.056 eV per atom
volume = 158.1 Å³ per cell

Cell: 3.917 5.821 6.976 Å, 90.25 95.16 93.43°
Sites, in units of the cell vectors:
Cu1 0.000 0.000 0.000
Cu2 0.278 0.100 0.586
P1 0.158 0.549 0.262
P2 0.448 0.521 0.975
S1 0.052 0.320 0.821
S2 0.104 0.899 0.311
S3 0.480 0.849 0.851
S4 0.529 0.421 0.450

> What is the formula in the second record?

NaNi2AsN

> What is the DFT total energy in the sixth record?

-4.496 eV per atom

> Which value of Fermi-level density of states does entry 6 give?

1.43 states/eV/f.u.

> What is the formula in the second record?

NaNi2AsN